Entry from Alexandria: a geometry-optimized LiLaZn11 structure (PBE-GGA).

Unit cell a=6.885 b=6.885 c=6.898 alpha=98.29 beta=98.29 gamma=135.26
Fractional positions:
Li 0.000 0.000 0.000
La 0.500 0.500 0.500
Zn 0.000 0.500 0.500
Zn 0.001 0.224 0.727
Zn 0.133 0.487 0.143
Zn 0.224 0.001 0.727
Zn 0.487 0.133 0.143
Zn 0.500 0.000 0.500
Zn 0.500 0.500 0.000
Zn 0.513 0.867 0.857
Zn 0.776 0.999 0.273
Zn 0.867 0.513 0.857
Zn 0.999 0.776 0.273

## Properties
- ΔE_f: -0.201 eV per atom
- E: -1.81 eV/atom
- Calculated volume: 16.39 Å³/atom